Entry from Alexandria via LeMat-Bulk: a relaxed ScTl2In crystal (PBE).

Output
- Electronic total energy: -13.87 eV/cell

The structure in POSCAR format:
```
ScTl2In
1.0
-2.232 -2.382 -0.899
-0.681 -0.593 3.263
-6.707 6.377 -0.240
In Tl Sc
1 2 1
Cartesian
-3.133 0.107 1.122 In
-6.525 6.204 -0.234 Tl
-3.534 3.361 -0.127 Tl
-6.486 3.295 1.002 Sc
```